1.
{
  "formula": "K7Rb5",
  "functional": "PBE-GGA",
  "state": "optimized geometry",
  "lattice": [[-4.7034, 0.5319, 0.8133], [-1.7616, -13.6375, -1.2676], [2.2610, -1.6050, 14.1247]],
  "species": ["Rb", "K", "Rb", "Rb", "K", "Rb", "K", "K", "Rb", "K", "K", "K"],
  "frac_coords": [[0.0000, 0.5107, 0.5000], [0.0000, 0.5050, 0.8340], [0.0000, 0.9960, 0.1624], [0.5000, 0.2482, 0.6673], [0.0000, 0.9863, 0.5000], [0.5000, 0.2482, 0.3327], [0.5000, 0.2645, 0.0000], [0.0000, 0.5050, 0.1660], [0.0000, 0.9960, 0.8376], [0.5000, 0.7382, 0.0000], [0.5000, 0.7508, 0.3299], [0.5000, 0.7508, 0.6701]]
}

***

2.
{
  "formula": "K3Rb5",
  "functional": "PBE-GGA",
  "state": "optimized geometry",
  "e_above_lowest_polymorph_ev_per_atom": 0.000,
  "lattice": [[-2.0065, 6.6701, -1.0524], [-3.8365, -0.2198, 5.9040], [13.5545, 1.0695, 4.6250]],
  "species": ["Rb", "K", "Rb", "Rb", "Rb", "K", "K", "Rb"],
  "frac_coords": [[0.4999, 0.9999, 0.9999], [0.1283, 0.1283, 0.2566], [0.3722, 0.3722, 0.7445], [0.6278, 0.6278, 0.2555], [0.0001, 0.5001, 0.0001], [0.2500, 0.7500, 0.5000], [0.8717, 0.8717, 0.7434], [0.7500, 0.2500, 0.5000]]
}

***

3.
{
  "formula": "K6Rb",
  "functional": "PBE-GGA",
  "state": "optimized geometry",
  "e_above_lowest_polymorph_ev_per_atom": 0.048,
  "lattice": [[6.7845, 0.0000, 0.0000], [0.0000, 6.7845, 0.0000], [0.0000, 0.0000, 12.1664]],
  "species": ["K", "K", "K", "K", "K", "Rb", "K"],
  "frac_coords": [[0.0000, 0.5000, 0.2738], [0.5000, 0.0000, 0.2738], [0.0000, 0.5000, 0.7262], [0.5000, 0.0000, 0.7262], [0.5000, 0.5000, 0.0000], [0.0000, 0.0000, 0.0000], [0.0000, 0.0000, 0.5000]]
}

***

4.
{
  "formula": "KRb4",
  "functional": "PBE-GGA",
  "state": "optimized geometry",
  "e_above_lowest_polymorph_ev_per_atom": 0.000,
  "lattice": [[4.9496, 0.0000, 0.6043], [2.4379, 4.3075, 0.6043], [0.0195, 0.0114, 20.4124]],
  "species": ["Rb", "Rb", "Rb", "K", "Rb"],
  "frac_coords": [[0.3978, 0.3978, 0.8065], [0.6022, 0.6022, 0.1935], [0.7993, 0.7993, 0.6021], [0.0000, 0.0000, 0.0000], [0.2007, 0.2007, 0.3979]]
}

***

5.
{
  "formula": "K7Rb5",
  "functional": "PBE-GGA",
  "state": "optimized geometry",
  "lattice": [[-2.0617, 1.2325, 7.3397], [-0.6966, -8.3545, -2.8556], [15.6471, 2.4330, 3.9868]],
  "species": ["K", "K", "Rb", "K", "K", "Rb", "Rb", "K", "Rb", "K", "K", "Rb"],
  "frac_coords": [[0.4227, 0.8454, 0.7523], [0.3320, 0.6640, 0.9952], [0.2537, 0.5074, 0.2478], [0.5000, 0.0000, 0.5000], [0.0831, 0.1663, 0.7546], [0.1633, 0.3267, 0.5012], [0.7463, 0.4926, 0.7522], [0.9169, 0.8337, 0.2454], [0.8367, 0.6733, 0.4988], [0.6680, 0.3360, 0.0048], [0.5773, 0.1546, 0.2477], [0.0000, 0.0000, 0.0000]]
}

***

6.
{
  "formula": "K3Rb5",
  "functional": "PBE-GGA",
  "state": "optimized geometry",
  "e_above_lowest_polymorph_ev_per_atom": 0.004,
  "lattice": [[-6.8038, 3.0131, 6.3939], [1.9689, -8.1115, 5.1556], [4.8790, 3.4506, 3.5657]],
  "species": ["K", "Rb", "Rb", "Rb", "Rb", "K", "Rb", "K"],
  "frac_coords": [[0.2516, 0.7484, 0.5000], [0.0000, 0.0000, 0.0000], [0.5000, 0.0000, 0.0000], [0.7442, 0.7442, 0.5000], [0.0000, 0.5000, 0.0000], [0.5000, 0.5000, 0.0000], [0.2558, 0.2558, 0.5000], [0.7484, 0.2516, 0.5000]]
}

***

In order of appearance, Fermi-level density of states = 8.2 5.2 5.2 4.6 9.8 7.4 states/eV per cell.
In order of appearance, energy relative to the elements = 0.0049 0.0032 0.0503 0.0061 0.0062 0.0074 eV per atom.